1.
Compound: FeSbTe2Pb
Source: the Alexandria database
Functional: PBE-GGA
Structure: relaxed

Unit cell a=5.805 b=5.805 c=5.817 alpha=90.00 beta=90.00 gamma=90.00
Space group P4/mmm (No. 123)
Asymmetric unit:
Fe  0.000  0.000  0.000 (multiplicity 1)
Sb  0.500  0.500  0.000 (multiplicity 1)
Te  0.000  0.500  0.500 (multiplicity 2)
Pb  0.500  0.500  0.500 (multiplicity 1)

Total moment, μB per atom: 0.6732
Energy relative to the lowest polymorph listed for this composition, eV per formula unit: 5.05
Energy relative to the elements, uncorrected, eV per atom: 1.26
Electronic total energy, eV per cell: -16.26



2.
Compound: LiDySb
Source: the Alexandria database
Functional: PBE-GGA
Structure: relaxed

Unit cell a=6.930 b=6.930 c=6.930 alpha=90.00 beta=90.00 gamma=90.00
Space group F-43m (No. 216)
Asymmetric unit:
Li  0.000  0.000  0.000 (multiplicity 4)
Dy  0.000  0.000  0.500 (multiplicity 4)
Sb  0.250  0.250  0.250 (multiplicity 4)

Total moment, μB per atom: 0.0000
Energy relative to the lowest polymorph listed for this composition, eV per formula unit: 0.57
Energy relative to the elements, uncorrected, eV per atom: -0.62
Electronic total energy, eV per cell: -49.95



3.
Compound: Ca2La2Sn
Source: the Alexandria database
Functional: PBE-GGA
Structure: relaxed

Unit cell a=8.257 b=8.257 c=5.456 alpha=90.00 beta=90.00 gamma=90.00
Space group P4/mbm (No. 127)
Asymmetric unit:
Ca  0.149  0.351  0.000 (multiplicity 4)
La  0.158  0.658  0.500 (multiplicity 4)
Sn  0.000  0.000  0.000 (multiplicity 2)

Total moment, μB per atom: 0.0000
Formation energy from the elements, eV per formula unit: -0.4
Electronic total energy, eV per cell: -36.50



4.
Compound: LaAl4Pd2
Source: the Alexandria database
Functional: PBE-GGA
Structure: relaxed

Unit cell a=7.918 b=7.918 c=4.150 alpha=90.00 beta=90.00 gamma=90.00
Space group P4_2/mnm (No. 136)
Asymmetric unit:
La  0.000  0.000  0.000 (multiplicity 2)
Al  0.082  0.340  0.500 (multiplicity 8)
Pd  0.219  0.781  0.500 (multiplicity 4)

Total moment, μB per atom: 0.0000
Energy relative to the lowest polymorph listed for this composition, eV per formula unit: 0.52
Formation energy from the elements, eV per formula unit: -4.9
Electronic total energy, eV per cell: -70.36



5.
Compound: Pa2VGe4Pt3
Source: the Alexandria database
Functional: PBE-GGA
Structure: relaxed

Unit cell a=4.129 b=4.129 c=10.893 alpha=90.00 beta=90.00 gamma=90.00
Space group P-4m2 (No. 115)
Asymmetric unit:
Pa  0.000  0.500  0.237 (multiplicity 2)
V  0.500  0.500  0.000 (multiplicity 1)
Ge  0.000  0.000  0.500 (multiplicity 1)
Ge  0.000  0.500  0.866 (multiplicity 2)
Ge  0.500  0.500  0.500 (multiplicity 1)
Pt  0.000  0.000  0.000 (multiplicity 1)
Pt  0.000  0.500  0.642 (multiplicity 2)

Total moment, μB per atom: 0.2246
Formation energy from the elements, eV per formula unit: -6.6
Electronic total energy, eV per cell: -71.26



6.
Compound: SrAs2P2
Source: the Alexandria database
Functional: PBE-GGA
Structure: relaxed

Unit cell a=4.890 b=4.890 c=9.763 alpha=90.00 beta=90.00 gamma=90.00
Space group I4/mmm (No. 139)
Asymmetric unit:
Sr  0.000  0.000  0.000 (multiplicity 2)
As  0.000  0.000  0.325 (multiplicity 4)
P  0.000  0.500  0.250 (multiplicity 4)

Total moment, μB per atom: 0.0000
Energy relative to the lowest polymorph listed for this composition, eV per formula unit: 0.00
Formation energy from the elements, eV per formula unit: -1.3
Electronic total energy, eV per cell: -46.16



7.
Compound: HoHfAgAu
Source: the Alexandria database
Functional: PBE-GGA
Structure: relaxed

Unit cell a=6.997 b=6.997 c=6.997 alpha=90.00 beta=90.00 gamma=90.00
Space group F-43m (No. 216)
Asymmetric unit:
Ho  0.000  0.000  0.000 (multiplicity 4)
Hf  0.000  0.000  0.500 (multiplicity 4)
Ag  0.250  0.250  0.750 (multiplicity 4)
Au  0.250  0.250  0.250 (multiplicity 4)

Total moment, μB per atom: 0.0015
Formation energy from the elements, eV per formula unit: -1.3
Electronic total energy, eV per cell: -87.64



8.
Compound: SrLuZnAg
Source: the Alexandria database
Functional: PBE-GGA
Structure: relaxed

Unit cell a=7.411 b=7.411 c=7.411 alpha=90.00 beta=90.00 gamma=90.00
Space group F-43m (No. 216)
Asymmetric unit:
Sr  0.000  0.000  0.000 (multiplicity 4)
Lu  0.000  0.000  0.500 (multiplicity 4)
Zn  0.250  0.250  0.250 (multiplicity 4)
Ag  0.250  0.250  0.750 (multiplicity 4)

Total moment, μB per atom: 0.0000
Formation energy from the elements, eV per formula unit: -0.7
Electronic total energy, eV per cell: -44.11



Which of these has the lowest electronic total energy? HoHfAgAu



Which of these has the lowest electronic total energy? HoHfAgAu